A plane-wave DFT calculation with GGA-PBE was carried out for an optimized crystal structure of RbGaB.

Computed properties:
- Excess energy over the best structure of this formula in the dataset: 0.000 eV/f.u.
- Calculated formation energy: 0.167 eV per atom

a = 3.1777 Å, b = 7.0406 Å, c = 7.0795 Å
α = 97.31°, β = 96.90°, γ = 95.08°
Closest atoms and distances in Å follow each position.
Space group P-1 (No. 2)
Asymmetric unit:
Rb1 0.0154 0.3028 0.1975 x2  2 Rb 3.18, 2 B 3.29-3.34
Ga1 0.3770 0.2177 0.7202 x2  3 B 2.24-2.46
B1 0.2412 0.9756 0.4769 x2  2 B 1.63-1.66

---

A plane-wave DFT calculation with GGA-PBE was carried out for an optimized crystal structure of Rb2GaBS4.

Computed properties:
- Total energy: -0.16305 Ha/atom

a = 5.6866 Å, b = 13.5129 Å, c = 23.2517 Å
α = 90.00°, β = 90.00°, γ = 90.00°
Closest atoms and distances in Å follow each position.
Space group Fddd (No. 70, origin choice 2)
Asymmetric unit:
Rb1 0.1250 0.1250 0.3042 x16  8 S 3.46-3.86
Ga1 0.1250 0.1250 0.6250 x8  4 S 2.29
B1 0.1250 0.1250 0.1250 x8  4 S 1.97
S1 0.0830 0.2926 0.4226 x32  1 B 1.97

---

A plane-wave DFT calculation with GGA-PBE was carried out for an optimized crystal structure of RbGaB2S.

Computed properties:
- Total energy: -0.10863 Ha/atom

a = 4.2133 Å, b = 4.2133 Å, c = 7.4229 Å
α = 90.00°, β = 90.00°, γ = 90.00°
Closest atoms and distances in Å follow each position.
Space group P4/mmm (No. 123)
Asymmetric unit:
Rb1 0.0000 0.0000 0.0000 x1  4 S 2.98
Ga1 0.0000 0.0000 0.5000 x1  4 B 2.11
B1 0.0000 0.5000 0.5000 x2  2 Ga 2.11
S1 0.5000 0.5000 0.0000 x1  4 Rb 2.98

---

A plane-wave DFT calculation with GGA-PBE was carried out for an optimized crystal structure of Rb2GaBSe4.

Computed properties:
- Total energy: -0.14504 Ha/atom

a = 5.9607 Å, b = 13.8980 Å, c = 24.5796 Å
α = 90.00°, β = 90.00°, γ = 90.00°
Closest atoms and distances in Å follow each position.
Space group Fddd (No. 70, origin choice 2)
Asymmetric unit:
Rb1 0.1250 0.1250 0.3056 x16  8 Se 3.61-3.97
Ga1 0.1250 0.1250 0.1250 x8  4 Se 2.42
B1 0.1250 0.1250 0.6250 x8  4 Se 2.12
Se1 0.0866 0.2892 0.8258 x32  1 B 2.12

---

A plane-wave DFT calculation with GGA-PBE was carried out for an optimized crystal structure of Ga3ReB.

Computed properties:
- Excess energy over the best structure of this formula in the dataset: 0.000 eV/f.u.
- Calculated formation energy: 1.026 eV per atom

a = 4.2285 Å, b = 4.2285 Å, c = 4.2285 Å
α = 90.00°, β = 90.00°, γ = 90.00°
Closest atoms and distances in Å follow each position.
Space group Pm-3m (No. 221)
Asymmetric unit:
Ga1 0.0000 0.0000 0.5000 x3  2 B 2.11
Re1 0.5000 0.5000 0.5000 x1  12 Ga 2.99
B1 0.0000 0.0000 0.0000 x1  6 Ga 2.11

---

A plane-wave DFT calculation with GGA-PBE was carried out for an optimized crystal structure of Ga2ReB.

Computed properties:
- Calculated formation energy: 0.655 eV per atom

a = 7.3370 Å, b = 7.3370 Å, c = 4.3086 Å
α = 90.00°, β = 90.00°, γ = 90.00°
Closest atoms and distances in Å follow each position.
Space group I-42d (No. 122)
Asymmetric unit:
Ga1 0.1479 0.2500 0.1250 x8  2 B 2.20
Re1 0.0000 0.0000 0.5000 x4  2 B 2.15
B1 0.0000 0.0000 0.0000 x4  2 Re 2.15, 4 Ga 2.20

---

A plane-wave DFT calculation with GGA-PBE was carried out for an optimized crystal structure of GaRe2B2.

Computed properties:
- Calculated formation energy: 0.068 eV per atom

a = 5.9940 Å, b = 5.9940 Å, c = 3.0272 Å
α = 90.00°, β = 90.00°, γ = 90.00°
Closest atoms and distances in Å follow each position.
Space group P4/mbm (No. 127)
Asymmetric unit:
Ga1 0.0000 0.0000 0.0000 x2  4 B 2.40
Re1 0.1676 0.3324 0.5000 x4  6 B 2.30-2.37
B1 0.1173 0.6173 0.0000 x4  1 B 1.99

---

A plane-wave DFT calculation with GGA-PBE was carried out for an optimized crystal structure of GaRe2B.

Computed properties:
- Excess energy over the best structure of this formula in the dataset: 0.604 eV/f.u.
- Calculated formation energy: 0.178 eV per atom

a = 2.9999 Å, b = 2.9999 Å, c = 22.3774 Å
α = 90.00°, β = 90.00°, γ = 120.00°
Closest atoms and distances in Å follow each position.
Space group R-3m (No. 166, hexagonal axes)
Asymmetric unit:
Ga1 0.0000 0.0000 0.0000 x3  2 Re 2.48
Re1 0.0000 0.0000 0.1109 x6  3 B 2.14
B1 0.0000 0.0000 0.5000 x3  6 Re 2.14

---

A plane-wave DFT calculation with GGA-PBE was carried out for an optimized crystal structure of GaReB2.

Computed properties:
- Calculated formation energy: 0.730 eV per atom

a = 5.0207 Å, b = 5.0207 Å, c = 9.1802 Å
α = 90.00°, β = 90.00°, γ = 90.00°
Closest atoms and distances in Å follow each position.
Space group I-42d (No. 122)
Asymmetric unit:
Ga1 0.0000 0.0000 0.0000 x4  4 B 2.20
Re1 0.0000 0.0000 0.5000 x4  4 B 2.04
B1 0.2231 0.2500 0.6250 x8  2 Re 2.04, 2 Ga 2.20

---

A plane-wave DFT calculation with GGA-PBE was carried out for an optimized crystal structure of GaRe2B.

Computed properties:
- Excess energy over the best structure of this formula in the dataset: 2.284 eV/f.u.
- Calculated formation energy: 0.598 eV per atom

a = 5.8683 Å, b = 5.8683 Å, c = 5.8683 Å
α = 90.00°, β = 90.00°, γ = 90.00°
Closest atoms and distances in Å follow each position.
Space group Fm-3m (No. 225)
Asymmetric unit:
Ga1 0.0000 0.0000 0.0000 x4  8 Re 2.54
Re1 0.2500 0.2500 0.2500 x8  4 B 2.54, 4 Ga 2.54
B1 0.0000 0.0000 0.5000 x4  8 Re 2.54

---

A plane-wave DFT calculation with GGA-PBE was carried out for an optimized crystal structure of GaRe2B.

Computed properties:
- Excess energy over the best structure of this formula in the dataset: 0.000 eV/f.u.
- Calculated formation energy: 0.027 eV per atom

a = 2.9594 Å, b = 2.9594 Å, c = 20.6487 Å
α = 90.00°, β = 90.00°, γ = 120.00°
Closest atoms and distances in Å follow each position.
Space group R3m (No. 160, hexagonal axes)
Asymmetric unit:
Ga1 0.0000 0.0000 0.0000 x3  6 Re 2.71-2.73, 6 Ga 2.96
Re1 0.0000 0.0000 0.5647 x3  3 B 2.17
Re2 0.0000 0.0000 0.7695 x3  3 B 2.16
B1 0.0000 0.0000 0.1669 x3  6 Re 2.16-2.17

---

A plane-wave DFT calculation with GGA-PBE was carried out for an optimized crystal structure of GaRe2B.

Computed properties:
- Excess energy over the best structure of this formula in the dataset: 3.083 eV/f.u.
- Calculated formation energy: 0.798 eV per atom

a = 3.8710 Å, b = 3.8710 Å, c = 16.3880 Å
α = 90.00°, β = 90.00°, γ = 90.00°
Closest atoms and distances in Å follow each position.
Space group I-42d (No. 122)
Asymmetric unit:
Ga1 0.0000 0.0000 0.0000 x4  4 Re 2.59, 4 B 2.74
Re1 0.1781 0.2500 0.6250 x8  2 B 2.37, 2 Re 2.38, 2 Ga 2.59
B1 0.0000 0.0000 0.5000 x4  4 Re 2.37